Below is a geometry-optimized PdO2F4 structure, with properties calculated at the GGA-PBE level.

Cell and atoms, written as POSCAR:
```
PdO2F4
1.0
3.201 0.000 0.000
-0.085 4.441 0.000
-0.597 -0.736 6.916
Pd O F
1 2 4
direct
0.000 0.000 0.000 Pd
0.185 0.817 0.497 O
0.815 0.183 0.503 O
0.041 0.296 0.225 F
0.485 0.205 0.888 F
0.515 0.795 0.112 F
0.959 0.704 0.775 F
```

Output
Formation energy without anion corrections in eV per atom: -0.0975
VASP energy in eV per atom: -3.3253
SG: P-1